HfZr2Te | PBE-GGA | optimized geometry

Structure (POSCAR):
```
HfZr2Te
1.0
0.000 3.530 3.530
3.530 0.000 3.530
3.530 3.530 0.000
Hf Zr Te
1 2 1
direct
0.000 0.000 0.000
0.250 0.250 0.250
0.500 0.500 0.500
0.750 0.750 0.750
```

- Energy: -7.57 eV per atom
- Mass density: 9.22 g cm⁻³